Entry 1:
## PrYNO (PBE)

Data for a relaxed structure of PrYNO.

a = 5.0415 Å, b = 5.0415 Å, c = 4.9338 Å
α = 90.00°, β = 90.00°, γ = 90.00°
Closest atoms and distances in Å follow each position.
Space group P4/nmm (No. 129, origin choice 2)
One atom of each set of equivalent atoms:
1 Pr 0.2500 0.7500 0.0000 x2  2 O 2.47, 4 N 2.52
2 Y 0.2500 0.2500 0.5003 x2  2 N 2.45-2.48, 4 O 2.52
3 N 0.2500 0.2500 0.0029 x2  2 Y 2.45-2.48, 4 Pr 2.52
4 O 0.2500 0.7500 0.5000 x2  2 Pr 2.47, 4 Y 2.52

Output
* volume: 125 Å³/cell
* total energy: -8.24 eV per atom
* spin magnetization: 0.0 Bohr magnetons per cell
* relative energy among the computed polymorphs: 0.00 kcal/mol of atoms


Entry 2:
## Tm4PbC2Se (PBE)

Data for a relaxed structure of Tm4PbC2Se.

a = 3.6416 Å, b = 3.6416 Å, c = 14.4419 Å
α = 90.00°, β = 90.00°, γ = 120.00°
Closest atoms and distances in Å follow each position.
Space group P-6m2 (No. 187)
One atom of each set of equivalent atoms:
1 Tm 0.0000 0.0000 0.1367 x2  3 C 2.49
2 Tm 0.3333 0.6667 0.3168 x2  3 C 2.46
3 Pb 0.0000 0.0000 0.5000 x1  6 Tm 3.38, 6 Pb 3.64
4 C 0.6667 0.3333 0.2285 x2  6 Tm 2.46-2.49
5 Se 0.3333 0.6667 0.0000 x1  6 Tm 2.88

Output
* volume: 166 Å³/cell
* total energy: -6.30 eV per atom
* spin magnetization: 0.0 Bohr magnetons per cell


Entry 3:
## ScCuSiPt (PBE)

Data for a relaxed structure of ScCuSiPt.

a = 6.2212 Å, b = 6.2212 Å, c = 6.2212 Å
α = 90.00°, β = 90.00°, γ = 90.00°
Closest atoms and distances in Å follow each position.
Space group F-43m (No. 216)
One atom of each set of equivalent atoms:
1 Sc 0.0000 0.0000 0.0000 x4  4 Cu 2.69, 4 Pt 2.69
2 Cu 0.2500 0.2500 0.7500 x4  4 Sc 2.69, 4 Si 2.69
3 Si 0.0000 0.0000 0.5000 x4  4 Pt 2.69, 4 Cu 2.69
4 Pt 0.2500 0.2500 0.2500 x4  4 Sc 2.69, 4 Si 2.69

Output
* volume: 241 Å³/cell
* total energy: -6.03 eV per atom
* spin magnetization: 0.0 Bohr magnetons per cell
* relative energy among the computed polymorphs: 0.00 kcal/mol of atoms


Entry 4:
## TaInCuNi (PBE)

Data for a relaxed structure of TaInCuNi.

a = 6.2632 Å, b = 6.2632 Å, c = 6.2632 Å
α = 90.00°, β = 90.00°, γ = 90.00°
Closest atoms and distances in Å follow each position.
Space group F-43m (No. 216)
One atom of each set of equivalent atoms:
1 Ta 0.0000 0.0000 0.0000 x4  4 Ni 2.71, 4 In 2.71
2 In 0.2500 0.2500 0.2500 x4  4 Ta 2.71, 4 Cu 2.71
3 Cu 0.0000 0.0000 0.5000 x4  4 In 2.71, 4 Ni 2.71
4 Ni 0.2500 0.2500 0.7500 x4  4 Cu 2.71, 4 Ta 2.71

Output
* volume: 246 Å³/cell
* total energy: -5.72 eV per atom
* spin magnetization: 0.0 Bohr magnetons per cell
* relative energy among the computed polymorphs: 5.76 kcal/mol of atoms


Entry 5:
## Y2ErAl3AgGe2 (PBE)

Data for a relaxed structure of Y2ErAl3AgGe2.

a = 4.2747 Å, b = 12.2109 Å, c = 7.0634 Å
α = 90.00°, β = 90.00°, γ = 90.00°
Closest atoms and distances in Å follow each position.
Space group Amm2 (No. 38)
One atom of each set of equivalent atoms:
1 Y 0.0000 0.2069 0.0000 x4  1 Ag 2.93, 4 Ge 3.02, 2 Al 3.24
2 Er 0.0000 0.0000 0.6209 x2  1 Ag 2.90, 4 Ge 3.00, 2 Al 3.25
3 Al 0.5000 0.0000 0.9666 x2  2 Ge 2.73, 2 Ag 2.74, 2 Al 2.94
4 Al 0.5000 0.1201 0.3281 x4  2 Ag 2.72, 2 Ge 2.73-2.76, 2 Al 2.93-2.94
5 Ag 0.0000 0.0000 0.2104 x2  6 Al 2.72-2.74, 1 Er 2.90, 2 Y 2.93
6 Ge 0.5000 0.1654 0.7067 x4  3 Al 2.73-2.76, 2 Er 3.00, 4 Y 3.02

Output
* volume: 369 Å³/cell
* total energy: -5.15 eV per atom
* spin magnetization: 0.0 Bohr magnetons per cell


Entry 6:
## NdZrB (PBE)

Data for a relaxed structure of NdZrB.

a = 6.2814 Å, b = 6.2814 Å, c = 6.2814 Å
α = 90.00°, β = 90.00°, γ = 90.00°
Closest atoms and distances in Å follow each position.
Space group F-43m (No. 216)
One atom of each set of equivalent atoms:
1 Nd 0.0000 0.0000 0.0000 x4  4 B 2.72
2 Zr 0.0000 0.0000 0.5000 x4  4 B 2.72
3 B 0.2500 0.2500 0.7500 x4  4 Zr 2.72, 4 Nd 2.72

Output
* volume: 248 Å³/cell
* total energy: -6.46 eV per atom
* spin magnetization: 0.0 Bohr magnetons per cell
* relative energy among the computed polymorphs: 0.00 kcal/mol of atoms


Entry 7:
## SmTlNO (PBE)

Data for a relaxed structure of SmTlNO.

a = 5.1216 Å, b = 5.1216 Å, c = 4.8594 Å
α = 90.00°, β = 90.00°, γ = 90.00°
Closest atoms and distances in Å follow each position.
Space group P4/nmm (No. 129, origin choice 2)
One atom of each set of equivalent atoms:
1 Sm 0.2500 0.7500 0.0000 x2  2 O 2.43, 4 N 2.56
2 Tl 0.2500 0.2500 0.4993 x2  2 N 2.43, 4 O 2.56
3 N 0.2500 0.2500 0.9988 x2  2 Tl 2.43, 4 Sm 2.56
4 O 0.2500 0.7500 0.5000 x2  2 Sm 2.43, 4 Tl 2.56

Output
* volume: 127 Å³/cell
* total energy: -6.16 eV per atom
* spin magnetization: 0.0 Bohr magnetons per cell
* relative energy among the computed polymorphs: 2.57 kcal/mol of atoms


Entry 8:
## Co7Pb2 (PBE)

Data for a relaxed structure of Co7Pb2.

a = 2.8862 Å, b = 2.8862 Å, c = 24.3664 Å
α = 90.00°, β = 90.00°, γ = 120.00°
Closest atoms and distances in Å follow each position.
Space group P-3m1 (No. 164)
One atom of each set of equivalent atoms:
1 Co 0.0000 0.0000 0.0000 x1  6 Co 2.44
2 Co 0.0000 0.0000 0.2172 x2  3 Co 2.41
3 Co 0.3333 0.6667 0.1460 x2  6 Co 2.41-2.44
4 Co 0.3333 0.6667 0.9271 x2  6 Co 2.44
5 Pb 0.3333 0.6667 0.6851 x2  6 Pb 2.89, 3 Co 2.91

Output
* volume: 176 Å³/cell
* total energy: -5.74 eV per atom
* spin magnetization: 12.4 Bohr magnetons per cell


Entry 9:
## RbTlHg2 (PBE)

Data for a relaxed structure of RbTlHg2.

a = 6.3757 Å, b = 6.4650 Å, c = 7.0730 Å
α = 102.61°, β = 100.93°, γ = 99.23°
Closest atoms and distances in Å follow each position.
Space group P-1 (No. 2)
One atom of each set of equivalent atoms:
1 Rb 0.2130 0.3257 0.3270 x2  8 Hg 3.58-3.78, 3 Tl 3.87-4.00, 1 Rb 4.00
2 Tl 0.3567 0.7342 0.0151 x2  5 Hg 3.23-3.60
3 Hg 0.0729 0.2504 0.7990 x2  2 Hg 3.09-3.25, 2 Tl 3.23-3.26
4 Hg 0.3157 0.9167 0.6038 x2  3 Hg 3.09-3.25, 2 Tl 3.23-3.35

Output
* volume: 273 Å³/cell
* total energy: -1.14 eV per atom


Entry 10:
## KSmZnO3 (PBE)

Data for a relaxed structure of KSmZnO3.

a = 3.5489 Å, b = 11.8212 Å, c = 9.2589 Å
α = 90.00°, β = 90.00°, γ = 90.00°
Closest atoms and distances in Å follow each position.
Space group Cmcm (No. 63)
One atom of each set of equivalent atoms:
1 K 0.0000 0.2247 0.2500 x4  6 O 2.78-3.09
2 Sm 0.0000 0.5000 0.0000 x4  6 O 2.34-2.37
3 Zn 0.0000 0.0557 0.7500 x4  4 O 1.90-2.13
4 O 0.0000 0.1201 0.5618 x8  1 Zn 1.90
5 O 0.0000 0.4561 0.7500 x4  2 Zn 2.13, 2 Sm 2.37

Output
* volume: 388 Å³/cell
* total energy: -5.81 eV per atom
* spin magnetization: 0.0 Bohr magnetons per cell


Entry 11:
## SrErTe3Au (PBE)

Data for a relaxed structure of SrErTe3Au.

a = 13.6989 Å, b = 4.4251 Å, c = 11.9760 Å
α = 90.00°, β = 90.00°, γ = 90.00°
Closest atoms and distances in Å follow each position.
Space group Pnma (No. 62)
One atom of each set of equivalent atoms:
1 Sr 0.2079 0.2500 0.0430 x4  7 Te 3.36-3.59, 3 Au 3.47-3.57
2 Er 0.0077 0.2500 0.3215 x4  6 Te 3.08-3.24, 2 Au 3.43
3 Te 0.0348 0.7500 0.1427 x4  1 Au 2.71
4 Te 0.1075 0.2500 0.5523 x4  3 Er 3.08-3.11, 2 Sr 3.36
5 Te 0.1937 0.7500 0.8211 x4  2 Au 2.74
6 Au 0.1946 0.7500 0.2760 x4  3 Te 2.71-2.74

Output
* volume: 726 Å³/cell
* total energy: -4.30 eV per atom
* spin magnetization: 0.0 Bohr magnetons per cell


Entry 12:
## Dy2Sn2IrPd3 (PBE)

Data for a relaxed structure of Dy2Sn2IrPd3.

a = 4.5645 Å, b = 4.5645 Å, c = 8.9839 Å
α = 90.00°, β = 90.00°, γ = 120.00°
Closest atoms and distances in Å follow each position.
Space group P3m1 (No. 156)
One atom of each set of equivalent atoms:
1 Dy 0.0000 0.0000 0.0000 x1  1 Ir 2.93, 7 Pd 2.98-3.05
2 Dy 0.3333 0.6667 0.4896 x1  5 Pd 3.01-3.07, 3 Ir 3.01, 3 Sn 3.34
3 Sn 0.6667 0.3333 0.2614 x1  3 Ir 2.70, 3 Pd 2.80
4 Sn 0.6667 0.3333 0.7489 x1  6 Pd 2.74-2.75
5 Ir 0.0000 0.0000 0.3266 x1  3 Sn 2.70, 4 Dy 2.93-3.01, 1 Pd 3.00
6 Pd 0.0000 0.0000 0.6604 x1  3 Sn 2.75, 1 Ir 3.00, 4 Dy 3.05, 3 Pd 3.05
7 Pd 0.3333 0.6667 0.1548 x1  3 Sn 2.80, 1 Pd 2.91, 4 Dy 2.98-3.01, 3 Ir 3.05
8 Pd 0.3333 0.6667 0.8313 x1  3 Sn 2.74, 4 Pd 2.91-3.05, 3 Dy 3.04

Output
* volume: 162 Å³/cell
* total energy: -6.02 eV per atom
* spin magnetization: 0.0 Bohr magnetons per cell


Entry 13:
## ZnTeNO (PBE)

Data for a relaxed structure of ZnTeNO.

a = 5.6360 Å, b = 7.8585 Å, c = 5.2613 Å
α = 90.00°, β = 90.00°, γ = 90.00°
Closest atoms and distances in Å follow each position.
Space group Pca2_1 (No. 29)
One atom of each set of equivalent atoms:
1 Zn 0.0651 0.0993 0.0000 x4  1 N 1.98, 3 O 2.00-2.03
2 Te 0.0649 0.6330 0.0221 x4  2 N 2.00-2.05, 1 O 2.23
3 N 0.1437 0.7415 0.6877 x4  1 Zn 1.98, 2 Te 2.00-2.05
4 O 0.0991 0.1164 0.6188 x4  3 Zn 2.00-2.03, 1 Te 2.23

Output
* volume: 233 Å³/cell
* total energy: -4.56 eV per atom
* relative energy among the computed polymorphs: 0.50 kcal/mol of atoms


Entry 14:
## ScZn2Fe (PBE)

Data for a relaxed structure of ScZn2Fe.

a = 6.2484 Å, b = 6.2484 Å, c = 6.2484 Å
α = 90.00°, β = 90.00°, γ = 90.00°
Closest atoms and distances in Å follow each position.
Space group F-43m (No. 216)
One atom of each set of equivalent atoms:
1 Sc 0.0000 0.0000 0.0000 x4  4 Zn 2.71, 4 Fe 2.71
2 Zn 0.0000 0.0000 0.5000 x4  4 Fe 2.71, 4 Zn 2.71
3 Zn 0.2500 0.2500 0.7500 x4  4 Zn 2.71, 4 Sc 2.71
4 Fe 0.2500 0.2500 0.2500 x4  4 Sc 2.71, 4 Zn 2.71

Output
* volume: 244 Å³/cell
* total energy: -4.31 eV per atom
* spin magnetization: 6.4 Bohr magnetons per cell
* formation energy from the elements: -0.023 eV/atom


Entry 15:
## Cd2TcGe (PBE)

Data for a relaxed structure of Cd2TcGe.

a = 6.6026 Å, b = 6.6026 Å, c = 6.6026 Å
α = 90.00°, β = 90.00°, γ = 90.00°
Closest atoms and distances in Å follow each position.
Space group F-43m (No. 216)
One atom of each set of equivalent atoms:
1 Cd 0.0000 0.0000 0.0000 x4  4 Tc 2.86, 4 Cd 2.86
2 Cd 0.2500 0.2500 0.2500 x4  4 Cd 2.86, 4 Ge 2.86
3 Tc 0.2500 0.2500 0.7500 x4  4 Ge 2.86, 4 Cd 2.86
4 Ge 0.0000 0.0000 0.5000 x4  4 Cd 2.86, 4 Tc 2.86

Output
* volume: 288 Å³/cell
* total energy: -3.71 eV per atom
* spin magnetization: 0.0 Bohr magnetons per cell


Entry 16:
## LiHfFeSi (PBE)

Data for a relaxed structure of LiHfFeSi.

a = 6.0215 Å, b = 6.0215 Å, c = 6.0215 Å
α = 90.00°, β = 90.00°, γ = 90.00°
Closest atoms and distances in Å follow each position.
Space group F-43m (No. 216)
One atom of each set of equivalent atoms:
1 Li 0.0000 0.0000 0.0000 x4  4 Hf 2.61, 4 Fe 2.61
2 Hf 0.2500 0.2500 0.2500 x4  4 Li 2.61, 4 Si 2.61
3 Fe 0.2500 0.2500 0.7500 x4  4 Li 2.61, 4 Si 2.61
4 Si 0.0000 0.0000 0.5000 x4  4 Hf 2.61, 4 Fe 2.61

Output
* volume: 218 Å³/cell
* total energy: -6.51 eV per atom
* spin magnetization: 2.8 Bohr magnetons per cell
* relative energy among the computed polymorphs: 5.85 kcal/mol of atoms


Entry 17:
## ZrSiPt (PBE)

Data for a relaxed structure of ZrSiPt.

a = 6.6515 Å, b = 3.9310 Å, c = 7.6182 Å
α = 90.00°, β = 90.00°, γ = 90.00°
Closest atoms and distances in Å follow each position.
Space group Pnma (No. 62)
One atom of each set of equivalent atoms:
1 Zr 0.0246 0.2500 0.1774 x4  5 Si 2.78-2.86, 5 Pt 3.00-3.07
2 Si 0.2357 0.7500 0.3779 x4  4 Pt 2.50-2.58, 3 Zr 2.78
3 Pt 0.1461 0.2500 0.5642 x4  4 Si 2.50-2.58

Output
* volume: 199 Å³/cell
* total energy: -7.84 eV per atom
* spin magnetization: 0.0 Bohr magnetons per cell


Entry 18:
## CsRbCdSn (PBE)

Data for a relaxed structure of CsRbCdSn.

a = 7.0083 Å, b = 11.7878 Å, c = 8.7995 Å
α = 90.00°, β = 90.00°, γ = 90.00°
Closest atoms and distances in Å follow each position.
Space group Amm2 (No. 38)
One atom of each set of equivalent atoms:
1 Cs 0.0000 0.1695 0.0000 x4  1 Cs 4.00, 4 Sn 4.00-4.13, 4 Cd 4.08-4.47, 4 Rb 4.37
2 Rb 0.5000 0.1695 0.2976 x4  4 Sn 4.00-4.13, 1 Rb 4.00, 4 Cd 4.07-4.47, 4 Cs 4.37
3 Cd 0.2501 0.0000 0.6477 x4  2 Sn 2.82
4 Sn 0.0000 0.0000 0.3973 x2  2 Cd 2.82
5 Sn 0.5000 0.0000 0.8986 x2  2 Cd 2.82

Output
* volume: 727 Å³/cell
* total energy: -1.90 eV per atom
* relative energy among the computed polymorphs: 0.07 kcal/mol of atoms


Entry 19:
## ZnFe2Si (PBE)

Data for a relaxed structure of ZnFe2Si.

a = 5.6431 Å, b = 5.6431 Å, c = 5.6431 Å
α = 90.00°, β = 90.00°, γ = 90.00°
Closest atoms and distances in Å follow each position.
Space group Pm-3m (No. 221)
One atom of each set of equivalent atoms:
1 Zn 0.0000 0.0000 0.0000 x1  8 Fe 2.56, 6 Zn 2.82
2 Zn 0.0000 0.0000 0.5000 x3  8 Fe 2.49
3 Fe 0.2620 0.2620 0.2620 x8  4 Si 2.33-2.41, 4 Zn 2.49-2.56
4 Si 0.0000 0.5000 0.5000 x3  8 Fe 2.41
5 Si 0.5000 0.5000 0.5000 x1  8 Fe 2.33

Output
* volume: 180 Å³/cell
* total energy: -5.99 eV per atom
* spin magnetization: 5.5 Bohr magnetons per cell


Entry 20:
## Y2CoPt (PBE)

Data for a relaxed structure of Y2CoPt.

a = 6.7009 Å, b = 6.7009 Å, c = 6.7009 Å
α = 90.00°, β = 90.00°, γ = 90.00°
Closest atoms and distances in Å follow each position.
Space group F-43m (No. 216)
One atom of each set of equivalent atoms:
1 Y 0.0000 0.0000 0.0000 x4  4 Co 2.90, 4 Y 2.90
2 Y 0.2500 0.2500 0.2500 x4  4 Y 2.90, 4 Pt 2.90
3 Co 0.2500 0.2500 0.7500 x4  4 Pt 2.90, 4 Y 2.90
4 Pt 0.0000 0.0000 0.5000 x4  4 Y 2.90, 4 Co 2.90

Output
* volume: 301 Å³/cell
* total energy: -6.75 eV per atom
* spin magnetization: 5.0 Bohr magnetons per cell
* formation energy from the elements: -0.225 eV/atom